## OsW2Se (PBE-GGA)

Data for a relaxed OsW2Se crystal.

Cell and atoms, written as CIF:
```
data_OsW2Se
_chemical_formula_sum 'Os2 W4 Se2'
_space_group_name_H-M_alt 'C m m 2'
_space_group_IT_number 35
_cell_length_a 3.151
_cell_length_b 4.659
_cell_length_c 9.002
_cell_angle_alpha 90.00
_cell_angle_beta 90.00
_cell_angle_gamma 90.00
loop_
_space_group_symop_operation_xyz
'x,y,z'
'-x,-y,z'
'-x,y,z'
'x,-y,z'
'x+1/2,y+1/2,z'
'-x+1/2,-y+1/2,z'
'-x+1/2,y+1/2,z'
'x+1/2,-y+1/2,z'
loop_
_atom_site_label
_atom_site_type_symbol
_atom_site_fract_x
_atom_site_fract_y
_atom_site_fract_z
Os1 Os 0.000 0.000 0.000
W1 W 0.000 0.000 0.526
W2 W 0.000 0.500 0.771
Se1 Se 0.000 0.500 0.281
```

Computed properties:
* magnetization: 0.00 Bohr magnetons per cell
* E_form (uncorrected): 0.60 eV/atom